Entry 1:
CuIrW | PBE | optimized geometry

Computed properties:
ΔH_f (0 K)	435	meV per atom

```
data_CuIrW
_chemical_formula_sum 'Cu4 Ir4 W4'
_cell_length_a 5.895
_cell_length_b 5.895
_cell_length_c 5.895
_cell_angle_alpha 90.00
_cell_angle_beta 90.00
_cell_angle_gamma 90.00
_space_group_name_H-M_alt 'F -4 3 m'
_space_group_IT_number 216
_space_group_name_Hall 'F -4 2 3'
loop_
_atom_site_label
_atom_site_type_symbol
_atom_site_fract_x
_atom_site_fract_y
_atom_site_fract_z
_atom_site_occupancy
Cu1 Cu 0.000 0.000 0.000 1
Ir1 Ir 0.250 0.250 0.750 1
W1 W 0.000 0.000 0.500 1
```

Entry 2:
Tb4PSe2S | PBE | optimized geometry

Computed properties:
formation energy without anion corrections	-179.44	kJ per mole of atoms

```
data_Tb4PSe2S
_chemical_formula_sum 'Tb4 P1 Se2 S1'
_cell_length_a 6.942
_cell_length_b 4.013
_cell_length_c 7.095
_cell_angle_alpha 90.00
_cell_angle_beta 109.05
_cell_angle_gamma 90.00
_space_group_name_H-M_alt 'P 1 2/m 1'
_space_group_IT_number 10
_space_group_name_Hall '-P 2y'
loop_
_atom_site_label
_atom_site_type_symbol
_atom_site_fract_x
_atom_site_fract_y
_atom_site_fract_z
_atom_site_occupancy
Tb1 Tb 0.239 0.000 0.226 1
Tb2 Tb 0.254 0.500 0.773 1
P1 P 0.000 0.500 0.000 1
Se1 Se 0.000 0.000 0.500 1
Se2 Se 0.500 0.500 0.500 1
S1 S 0.500 0.000 0.000 1
```

Entry 3:
ReHI2 | PBE | optimized geometry

Computed properties:
DFT total energy	-3.648	eV/atom

```
data_ReHI2
_chemical_formula_sum 'Re4 H4 I8'
_cell_length_a 5.826
_cell_length_b 5.826
_cell_length_c 10.869
_cell_angle_alpha 90.00
_cell_angle_beta 90.00
_cell_angle_gamma 90.00
_space_group_name_H-M_alt 'I -4 2 d'
_space_group_IT_number 122
_space_group_name_Hall 'I -4 2bw'
loop_
_atom_site_label
_atom_site_type_symbol
_atom_site_fract_x
_atom_site_fract_y
_atom_site_fract_z
_atom_site_occupancy
Re1 Re 0.000 0.000 0.000 1
H1 H 0.000 0.000 0.500 1
I1 I 0.219 0.250 0.625 1
```

Entry 4:
CuBO3 | PBE | optimized geometry

Computed properties:
formation energy without anion corrections	101.04	kJ per mole of atoms

```
data_CuBO3
_chemical_formula_sum 'Cu1 B1 O3'
_cell_length_a 3.649
_cell_length_b 3.649
_cell_length_c 3.649
_cell_angle_alpha 90.00
_cell_angle_beta 90.00
_cell_angle_gamma 90.00
_space_group_name_H-M_alt 'P m -3 m'
_space_group_IT_number 221
_space_group_name_Hall '-P 4 2 3'
loop_
_atom_site_label
_atom_site_type_symbol
_atom_site_fract_x
_atom_site_fract_y
_atom_site_fract_z
_atom_site_occupancy
Cu1 Cu 0.000 0.000 0.000 1
B1 B 0.500 0.500 0.500 1
O1 O 0.000 0.000 0.500 1
```

Entry 5:
LiBe2Ag | PBE | optimized geometry

Computed properties:
ΔH_f (0 K)	519	meV per atom

```
data_LiBe2Ag
_chemical_formula_sum 'Li4 Be8 Ag4'
_cell_length_a 4.096
_cell_length_b 4.096
_cell_length_c 16.751
_cell_angle_alpha 90.00
_cell_angle_beta 90.00
_cell_angle_gamma 90.00
_space_group_name_H-M_alt 'I 41/a m d'
_space_group_IT_number 141
loop_
_space_group_symop_operation_xyz
'x,y,z'
'-x,-y,-z'
'-y+1/4,x+3/4,z+1/4'
'y+1/4,-x+3/4,-z+1/4'
'-x+1/2,-y,z+1/2'
'x+1/2,y,-z+1/2'
'y+1/4,-x+1/4,z+3/4'
'-y+1/4,x+1/4,-z+3/4'
'x,-y,-z'
'-x,y,z'
'-y+1/4,-x+1/4,-z+3/4'
'y+1/4,x+1/4,z+3/4'
'-x+1/2,y,-z+1/2'
'x+1/2,-y,z+1/2'
'y+1/4,x+3/4,-z+1/4'
'-y+1/4,-x+3/4,z+1/4'
'x+1/2,y+1/2,z+1/2'
'-x+1/2,-y+1/2,-z+1/2'
'-y+3/4,x+1/4,z+3/4'
'y+3/4,-x+1/4,-z+3/4'
'-x,-y+1/2,z'
'x,y+1/2,-z'
'y+3/4,-x+3/4,z+1/4'
'-y+3/4,x+3/4,-z+1/4'
'x+1/2,-y+1/2,-z+1/2'
'-x+1/2,y+1/2,z+1/2'
'-y+3/4,-x+3/4,-z+1/4'
'y+3/4,x+3/4,z+1/4'
'-x,y+1/2,-z'
'x,-y+1/2,z'
'y+3/4,x+1/4,-z+3/4'
'-y+3/4,-x+1/4,z+3/4'
loop_
_atom_site_label
_atom_site_type_symbol
_atom_site_fract_x
_atom_site_fract_y
_atom_site_fract_z
_atom_site_occupancy
Li1 Li 0.000 0.250 0.375 1
Be1 Be 0.000 0.000 0.000 1
Ag1 Ag 0.000 0.250 0.875 1
```

Entry 6:
ReTe2 | PBE | optimized geometry

Computed properties:
formation energy without anion corrections	45.88	kJ per mole of atoms

```
data_ReTe2
_chemical_formula_sum 'Re4 Te8'
_cell_length_a 7.214
_cell_length_b 4.272
_cell_length_c 9.029
_cell_angle_alpha 90.00
_cell_angle_beta 90.00
_cell_angle_gamma 90.00
_space_group_name_H-M_alt 'P n m a'
_space_group_IT_number 62
_space_group_name_Hall '-P 2ac 2n'
loop_
_atom_site_label
_atom_site_type_symbol
_atom_site_fract_x
_atom_site_fract_y
_atom_site_fract_z
_atom_site_occupancy
Re1 Re 0.241 0.250 0.078 1
Te1 Te 0.019 0.750 0.137 1
Te2 Te 0.125 0.250 0.394 1
```

Entry 7:
Dy2Ho5TmIn | PBE | optimized geometry

Computed properties:
ΔH_f (0 K)	-2	meV per atom

```
data_Dy2Ho5TmIn
_chemical_formula_sum 'Dy8 Ho20 Tm4 In4'
_cell_length_a 5.303
_cell_length_b 20.142
_cell_length_c 10.379
_cell_angle_alpha 90.00
_cell_angle_beta 90.00
_cell_angle_gamma 90.00
_space_group_name_H-M_alt 'C m c m'
_space_group_IT_number 63
_space_group_name_Hall '-C 2c 2'
loop_
_atom_site_label
_atom_site_type_symbol
_atom_site_fract_x
_atom_site_fract_y
_atom_site_fract_z
_atom_site_occupancy
Dy1 Dy 0.000 0.116 0.039 1
Ho1 Ho 0.000 0.011 0.750 1
Ho2 Ho 0.000 0.288 0.052 1
Ho3 Ho 0.000 0.381 0.750 1
Ho4 Ho 0.000 0.500 0.000 1
Tm1 Tm 0.000 0.208 0.750 1
In1 In 0.000 0.404 0.250 1
```

Entry 8:
Th4GeRhSe2 | PBE | optimized geometry

Computed properties:
formation energy without anion corrections	-114.97	kJ per mole of atoms

```
data_Th4GeRhSe2
_chemical_formula_sum 'Th4 Ge1 Rh1 Se2'
_cell_length_a 7.384
_cell_length_b 4.142
_cell_length_c 7.482
_cell_angle_alpha 90.00
_cell_angle_beta 108.81
_cell_angle_gamma 90.00
_space_group_name_H-M_alt 'P 1 2/m 1'
_space_group_IT_number 10
_space_group_name_Hall '-P 2y'
loop_
_atom_site_label
_atom_site_type_symbol
_atom_site_fract_x
_atom_site_fract_y
_atom_site_fract_z
_atom_site_occupancy
Th1 Th 0.226 0.000 0.232 1
Th2 Th 0.240 0.500 0.750 1
Ge1 Ge 0.000 0.000 0.500 1
Rh1 Rh 0.000 0.500 0.000 1
Se1 Se 0.500 0.000 0.000 1
Se2 Se 0.500 0.500 0.500 1
```

Entry 9:
BeInF4 | PBE | optimized geometry

Computed properties:
formation energy without anion corrections	-246.75	kJ per mole of atoms

```
data_BeInF4
_chemical_formula_sum 'Be4 In4 F16'
_cell_length_a 7.812
_cell_length_b 5.201
_cell_length_c 8.129
_cell_angle_alpha 90.00
_cell_angle_beta 99.02
_cell_angle_gamma 90.00
_space_group_name_H-M_alt 'C 1 2/c 1'
_space_group_IT_number 15
_space_group_name_Hall '-C 2yc'
loop_
_atom_site_label
_atom_site_type_symbol
_atom_site_fract_x
_atom_site_fract_y
_atom_site_fract_z
_atom_site_occupancy
Be1 Be 0.000 0.139 0.250 1
In1 In 0.250 0.250 0.000 1
F1 F 0.021 0.295 0.414 1
F2 F 0.166 0.034 0.751 1
```

Entry 10:
Pm3Ru2C | PBE | optimized geometry

Computed properties:
ΔH_f (0 K)	-167	meV per atom

```
data_Pm3Ru2C
_chemical_formula_sum 'Pm12 Ru8 C4'
_cell_length_a 9.659
_cell_length_b 8.241
_cell_length_c 7.060
_cell_angle_alpha 90.00
_cell_angle_beta 107.80
_cell_angle_gamma 90.00
_space_group_name_H-M_alt 'C 1 2/c 1'
_space_group_IT_number 15
_space_group_name_Hall '-C 2yc'
loop_
_atom_site_label
_atom_site_type_symbol
_atom_site_fract_x
_atom_site_fract_y
_atom_site_fract_z
_atom_site_occupancy
Pm1 Pm 0.000 0.122 0.250 1
Pm2 Pm 0.171 0.437 0.974 1
Ru1 Ru 0.156 0.224 0.639 1
C1 C 0.000 0.203 0.750 1
```

Entry 11:
KTl2Sb2 | PBE | optimized geometry

Computed properties:
formation energy without anion corrections	-8.36	kJ per mole of atoms

```
data_KTl2Sb2
_chemical_formula_sum 'K2 Tl4 Sb4'
_cell_length_a 9.574
_cell_length_b 9.574
_cell_length_c 3.570
_cell_angle_alpha 90.00
_cell_angle_beta 90.00
_cell_angle_gamma 90.00
_space_group_name_H-M_alt 'P 4/m b m'
_space_group_IT_number 127
_space_group_name_Hall '-P 4 2ab'
loop_
_atom_site_label
_atom_site_type_symbol
_atom_site_fract_x
_atom_site_fract_y
_atom_site_fract_z
_atom_site_occupancy
K1 K 0.000 0.000 0.000 1
Tl1 Tl 0.127 0.373 0.000 1
Sb1 Sb 0.170 0.670 0.500 1
```

Entry 12:
ErTm2Pu | PBE | optimized geometry

Computed properties:
ΔH_f (0 K)	91	meV per atom

```
data_ErTm2Pu
_chemical_formula_sum 'Er1 Tm2 Pu1'
_cell_length_a 3.452
_cell_length_b 3.452
_cell_length_c 9.883
_cell_angle_alpha 90.00
_cell_angle_beta 90.00
_cell_angle_gamma 90.00
_space_group_name_H-M_alt 'P 4/m m m'
_space_group_IT_number 123
_space_group_name_Hall '-P 4 2'
loop_
_atom_site_label
_atom_site_type_symbol
_atom_site_fract_x
_atom_site_fract_y
_atom_site_fract_z
_atom_site_occupancy
Er1 Er 0.000 0.000 0.000 1
Tm1 Tm 0.500 0.500 0.254 1
Pu1 Pu 0.000 0.000 0.500 1
```

Entry 13:
Pu2Tl3AuS6 | PBE | optimized geometry

Computed properties:
formation energy without anion corrections	-80.60	kJ per mole of atoms

```
data_Pu2Tl3AuS6
_chemical_formula_sum 'Pu4 Tl6 Au2 S12'
_cell_length_a 6.709
_cell_length_b 12.645
_cell_length_c 7.633
_cell_angle_alpha 90.00
_cell_angle_beta 104.33
_cell_angle_gamma 90.00
_space_group_name_H-M_alt 'C 1 2/m 1'
_space_group_IT_number 12
_space_group_name_Hall '-C 2y'
loop_
_atom_site_label
_atom_site_type_symbol
_atom_site_fract_x
_atom_site_fract_y
_atom_site_fract_z
_atom_site_occupancy
Pu1 Pu 0.000 0.166 0.000 1
Tl1 Tl 0.000 0.000 0.500 1
Tl2 Tl 0.000 0.351 0.500 1
Au1 Au 0.000 0.500 0.000 1
S1 S 0.238 0.000 0.165 1
S2 S 0.239 0.198 0.778 1
```

Entry 14:
NaTl2TeS | PBE | optimized geometry

Computed properties:
formation energy without anion corrections	-32.27	kJ per mole of atoms

```
data_NaTl2TeS
_chemical_formula_sum 'Na1 Tl2 Te1 S1'
_cell_length_a 5.599
_cell_length_b 5.599
_cell_length_c 5.155
_cell_angle_alpha 90.00
_cell_angle_beta 90.00
_cell_angle_gamma 90.00
_space_group_name_H-M_alt 'P 4/m m m'
_space_group_IT_number 123
_space_group_name_Hall '-P 4 2'
loop_
_atom_site_label
_atom_site_type_symbol
_atom_site_fract_x
_atom_site_fract_y
_atom_site_fract_z
_atom_site_occupancy
Na1 Na 0.000 0.000 0.000 1
Tl1 Tl 0.000 0.500 0.500 1
Te1 Te 0.500 0.500 0.000 1
S1 S 0.000 0.000 0.500 1
```

Entry 15:
InSbS4 | PBE | optimized geometry

Computed properties:
formation energy without anion corrections	-23.31	kJ per mole of atoms

```
data_InSbS4
_chemical_formula_sum 'In4 Sb4 S16'
_cell_length_a 7.323
_cell_length_b 7.645
_cell_length_c 10.591
_cell_angle_alpha 90.00
_cell_angle_beta 90.00
_cell_angle_gamma 90.00
_space_group_name_H-M_alt 'I m m a'
_space_group_IT_number 74
_space_group_name_Hall '-I 2b 2'
loop_
_atom_site_label
_atom_site_type_symbol
_atom_site_fract_x
_atom_site_fract_y
_atom_site_fract_z
_atom_site_occupancy
In1 In 0.000 0.000 0.000 1
Sb1 Sb 0.250 0.250 0.250 1
S1 S 0.000 0.012 0.254 1
S2 S 0.249 0.250 0.013 1
```

Entry 16:
RbNa2SiSe4 | PBE | optimized geometry

Computed properties:
formation energy without anion corrections	-79.30	kJ per mole of atoms

```
data_RbNa2SiSe4
_chemical_formula_sum 'Rb2 Na4 Si2 Se8'
_cell_length_a 7.530
_cell_length_b 7.530
_cell_length_c 8.852
_cell_angle_alpha 90.00
_cell_angle_beta 90.00
_cell_angle_gamma 90.00
_space_group_name_H-M_alt 'I -4 2 m'
_space_group_IT_number 121
_space_group_name_Hall 'I -4 2'
loop_
_atom_site_label
_atom_site_type_symbol
_atom_site_fract_x
_atom_site_fract_y
_atom_site_fract_z
_atom_site_occupancy
Rb1 Rb 0.000 0.000 0.000 1
Na1 Na 0.000 0.500 0.250 1
Si1 Si 0.000 0.000 0.500 1
Se1 Se 0.178 0.178 0.356 1
```

Entry 17:
La4Hg3Os | PBE | optimized geometry

Computed properties:
ΔH_f (0 K)	-300	meV per atom

```
data_La4Hg3Os
_chemical_formula_sum 'La8 Hg6 Os2'
_cell_length_a 7.623
_cell_length_b 7.623
_cell_length_c 7.623
_cell_angle_alpha 90.00
_cell_angle_beta 90.00
_cell_angle_gamma 90.00
_space_group_name_H-M_alt 'I m -3 m'
_space_group_IT_number 229
_space_group_name_Hall '-I 4 2 3'
loop_
_atom_site_label
_atom_site_type_symbol
_atom_site_fract_x
_atom_site_fract_y
_atom_site_fract_z
_atom_site_occupancy
La1 La 0.250 0.250 0.250 1
Hg1 Hg 0.000 0.000 0.500 1
Os1 Os 0.000 0.000 0.000 1
```

Entry 18:
ZrTiF2 | PBE | optimized geometry

Computed properties:
formation energy without anion corrections	-149.59	kJ per mole of atoms

```
data_ZrTiF2
_chemical_formula_sum 'Zr4 Ti4 F8'
_cell_length_a 4.059
_cell_length_b 4.059
_cell_length_c 14.253
_cell_angle_alpha 90.00
_cell_angle_beta 90.00
_cell_angle_gamma 90.00
_space_group_name_H-M_alt 'I -4 2 d'
_space_group_IT_number 122
_space_group_name_Hall 'I -4 2bw'
loop_
_atom_site_label
_atom_site_type_symbol
_atom_site_fract_x
_atom_site_fract_y
_atom_site_fract_z
_atom_site_occupancy
Zr1 Zr 0.000 0.000 0.000 1
Ti1 Ti 0.000 0.000 0.500 1
F1 F 0.239 0.250 0.625 1
```

Entry 19:
CsAc2PuO8 | PBE | optimized geometry

Computed properties:
formation energy without anion corrections	-240.84	kJ per mole of atoms

```
data_CsAc2PuO8
_chemical_formula_sum 'Cs1 Ac2 Pu1 O8'
_cell_length_a 4.437
_cell_length_b 8.771
_cell_length_c 5.536
_cell_angle_alpha 90.00
_cell_angle_beta 99.02
_cell_angle_gamma 90.00
_space_group_name_H-M_alt 'P 1 2/m 1'
_space_group_IT_number 10
_space_group_name_Hall '-P 2y'
loop_
_atom_site_label
_atom_site_type_symbol
_atom_site_fract_x
_atom_site_fract_y
_atom_site_fract_z
_atom_site_occupancy
Cs1 Cs 0.000 0.000 0.000 1
Ac1 Ac 0.500 0.280 0.500 1
Pu1 Pu 0.000 0.500 0.000 1
O1 O 0.065 0.324 0.771 1
O2 O 0.402 0.000 0.600 1
O3 O 0.411 0.500 0.219 1
```

Entry 20:
CdAg8 | PBE | optimized geometry

Computed properties:
ΔH_f (0 K)	7	meV per atom

```
data_CdAg8
_chemical_formula_sum 'Cd2 Ag16'
_cell_length_a 8.966
_cell_length_b 8.966
_cell_length_c 4.076
_cell_angle_alpha 90.00
_cell_angle_beta 90.00
_cell_angle_gamma 90.00
_space_group_name_H-M_alt 'I 4/m m m'
_space_group_IT_number 139
_space_group_name_Hall '-I 4 2'
loop_
_atom_site_label
_atom_site_type_symbol
_atom_site_fract_x
_atom_site_fract_y
_atom_site_fract_z
_atom_site_occupancy
Cd1 Cd 0.000 0.000 0.000 1
Ag1 Ag 0.000 0.335 0.000 1
Ag2 Ag 0.168 0.168 0.500 1
```

Entry 21:
Ag2ICl6 | PBE | optimized geometry

Computed properties:
formation energy without anion corrections	-23.83	kJ per mole of atoms

```
data_Ag2ICl6
_chemical_formula_sum 'Ag8 I4 Cl24'
_cell_length_a 12.982
_cell_length_b 11.179
_cell_length_c 8.108
_cell_angle_alpha 90.00
_cell_angle_beta 93.89
_cell_angle_gamma 90.00
_space_group_name_H-M_alt 'C 1 2/c 1'
_space_group_IT_number 15
_space_group_name_Hall '-C 2yc'
loop_
_atom_site_label
_atom_site_type_symbol
_atom_site_fract_x
_atom_site_fract_y
_atom_site_fract_z
_atom_site_occupancy
Ag1 Ag 0.205 0.054 0.176 1
I1 I 0.000 0.464 0.250 1
Cl1 Cl 0.110 0.005 0.427 1
Cl2 Cl 0.130 0.313 0.182 1
Cl3 Cl 0.133 0.368 0.684 1
```

Entry 22:
ReTeSeI2 | PBE | optimized geometry

Computed properties:
formation energy without anion corrections	141.11	kJ per mole of atoms

```
data_ReTeSeI2
_chemical_formula_sum 'Re1 Te1 Se1 I2'
_cell_length_a 5.669
_cell_length_b 5.669
_cell_length_c 5.641
_cell_angle_alpha 90.00
_cell_angle_beta 90.00
_cell_angle_gamma 90.00
_space_group_name_H-M_alt 'P 4/m m m'
_space_group_IT_number 123
_space_group_name_Hall '-P 4 2'
loop_
_atom_site_label
_atom_site_type_symbol
_atom_site_fract_x
_atom_site_fract_y
_atom_site_fract_z
_atom_site_occupancy
Re1 Re 0.000 0.000 0.000 1
Te1 Te 0.500 0.500 0.000 1
Se1 Se 0.500 0.500 0.500 1
I1 I 0.000 0.500 0.500 1
```

Entry 23:
Tb2Sm8Pb | PBE | optimized geometry

Computed properties:
ΔH_f (0 K)	-78	meV per atom

```
data_Tb2Sm8Pb
_chemical_formula_sum 'Tb4 Sm16 Pb2'
_cell_length_a 18.335
_cell_length_b 5.006
_cell_length_c 8.061
_cell_angle_alpha 90.00
_cell_angle_beta 105.41
_cell_angle_gamma 90.00
_space_group_name_H-M_alt 'C 1 2/m 1'
_space_group_IT_number 12
_space_group_name_Hall '-C 2y'
loop_
_atom_site_label
_atom_site_type_symbol
_atom_site_fract_x
_atom_site_fract_y
_atom_site_fract_z
_atom_site_occupancy
Tb1 Tb 0.224 0.000 0.133 1
Sm1 Sm 0.044 0.000 0.227 1
Sm2 Sm 0.091 0.500 0.943 1
Sm3 Sm 0.137 0.000 0.680 1
Sm4 Sm 0.180 0.500 0.407 1
Pb1 Pb 0.000 0.500 0.500 1
```